(1)
# CaTaPt2

CaTaPt2 at its PBEsol-relaxed geometry (SCAN, Alexandria).

**Space-group type**: No. 12
**D(E_F)**: 2.3 states/eV per cell

Cell: 2.869 4.086 7.034 Å, 95.27 90.00 110.55°
Sites, in units of the cell vectors:
1 Ta 0.000 0.000 0.500
2 Pt 0.249 0.498 0.286
3 Ca 0.500 0.000 0.000
4 Pt 0.751 0.502 0.714



(2)
# Ca2TaPt

Ca2TaPt at its PBEsol-relaxed geometry (SCAN, Alexandria).

**Space-group type**: No. 139
**D(E_F)**: 4.1 states/eV per cell
**ΔE to the lowest computed polymorph**: 373 meV/atom

Cell: 4.034 4.034 5.763 Å, 110.49 110.49 90.00°
Sites, in units of the cell vectors:
1 Ca 0.250 0.750 0.500
2 Pt 0.500 0.500 0.000
3 Ca 0.750 0.250 0.500
4 Ta 0.000 0.000 0.000



(3)
# Ca2TcPt

Ca2TcPt at its PBEsol-relaxed geometry (SCAN, Alexandria).

**Space-group type**: No. 99
**D(E_F)**: 4.6 states/eV per cell
**ΔE to the lowest computed polymorph**: 0 meV/atom

Cell: 3.324 3.324 8.559 Å, 90.00 90.00 90.00°
Sites, in units of the cell vectors:
1 Ca 0.500 0.500 0.328
2 Ca 0.000 0.000 0.928
3 Pt 0.000 0.000 0.558
4 Tc 0.500 0.500 0.687



(4)
# Ca2TcPt

Ca2TcPt at its PBEsol-relaxed geometry (SCAN, Alexandria).

**Space-group type**: No. 6
**D(E_F)**: 4.2 states/eV per cell
**ΔE to the lowest computed polymorph**: 95 meV/atom

Cell: 2.890 4.950 5.425 Å, 90.00 90.13 90.00°
Sites, in units of the cell vectors:
1 Pt 0.375 0.000 0.489
2 Tc 0.375 0.500 0.760
3 Ca 0.877 0.000 0.955
4 Ca 0.873 0.500 0.296



(5)
# CaTcPt3

CaTcPt3 at its PBEsol-relaxed geometry (SCAN, Alexandria).

**Space-group type**: No. 221
**D(E_F)**: 3.3 states/eV per cell

Cell: 4.775 4.775 4.775 Å, 90.00 90.00 90.00°
Sites, in units of the cell vectors:
1 Tc 0.000 0.000 0.000
2 Ca 0.500 0.500 0.500
3 Pt 0.000 0.000 0.500
4 Pt 0.500 0.000 0.000
5 Pt 0.000 0.500 0.000



(6)
# CaTc4Pt

CaTc4Pt at its PBEsol-relaxed geometry (SCAN, Alexandria).

**Space-group type**: No. 216
**D(E_F)**: 7.2 states/eV per cell

Cell: 5.146 5.146 5.146 Å, 60.00 60.00 60.00°
Sites, in units of the cell vectors:
1 Tc 0.374 0.877 0.374
2 Tc 0.374 0.374 0.877
3 Tc 0.374 0.374 0.374
4 Tc 0.877 0.374 0.374
5 Ca 0.750 0.750 0.750
6 Pt 0.000 0.000 0.000



(7)
# CaTc2Pt

CaTc2Pt at its PBEsol-relaxed geometry (SCAN, Alexandria).

**Space-group type**: No. 44
**D(E_F)**: 2.8 states/eV per cell

Cell: 3.162 4.756 5.326 Å, 116.52 107.27 90.00°
Sites, in units of the cell vectors:
1 Tc 0.287 0.787 0.574
2 Pt 0.725 0.225 0.449
3 Tc 0.986 0.986 0.971
4 Ca 0.503 0.503 0.006



(8)
# CaTePt

CaTePt at its PBEsol-relaxed geometry (SCAN, Alexandria).

**Raw formation energy**: -0.69 eV/atom
**Space-group type**: No. 107
**D(E_F)**: 1.0 states/eV per cell

Cell: 3.993 3.993 5.182 Å, 112.66 112.66 90.00°
Sites, in units of the cell vectors:
1 Ca 0.991 0.991 0.983
2 Te 0.654 0.654 0.309
3 Pt 0.354 0.354 0.709



(9)
# CaTlPt

CaTlPt at its PBEsol-relaxed geometry (SCAN, Alexandria).

**Space-group type**: No. 187
**D(E_F)**: 2.2 states/eV per cell

Cell: 3.556 4.698 4.698 Å, 120.00 90.00 90.00°
Sites, in units of the cell vectors:
1 Tl 0.500 0.333 0.667
2 Pt 0.500 0.667 0.333
3 Ca 0.000 0.000 0.000



(10)
# CaTlPt2

CaTlPt2 at its PBEsol-relaxed geometry (SCAN, Alexandria).

**Space-group type**: No. 5
**D(E_F)**: 1.6 states/eV per cell

Cell: 4.084 4.092 5.311 Å, 112.61 112.56 90.14°
Sites, in units of the cell vectors:
1 Pt 0.000 0.500 0.999
2 Ca 0.750 0.750 0.500
3 Tl 0.500 0.000 0.001
4 Pt 0.250 0.250 0.500



(11)
# Ca2TlPt

Ca2TlPt at its PBEsol-relaxed geometry (SCAN, Alexandria).

**Space-group type**: No. 123
**D(E_F)**: 1.6 states/eV per cell

Cell: 3.547 3.547 7.607 Å, 89.99 90.00 90.00°
Sites, in units of the cell vectors:
1 Ca 0.000 0.000 0.785
2 Tl 0.500 0.500 0.500
3 Ca 0.000 0.000 0.215
4 Pt 0.500 0.500 0.000



(12)
# CaTl2Pt2

CaTl2Pt2 at its PBEsol-relaxed geometry (SCAN, Alexandria).

**Space-group type**: No. 139
**D(E_F)**: 1.7 states/eV per cell

Cell: 4.126 4.126 7.090 Å, 106.92 106.92 90.00°
Sites, in units of the cell vectors:
1 Tl 0.614 0.614 0.228
2 Tl 0.386 0.386 0.772
3 Pt 0.750 0.250 0.500
4 Pt 0.250 0.750 0.500
5 Ca 0.000 0.000 0.000



(13)
# CaTlPt

CaTlPt at its PBEsol-relaxed geometry (SCAN, Alexandria).

**Space-group type**: No. 216
**D(E_F)**: 1.5 states/eV per cell

Cell: 4.719 4.719 4.719 Å, 60.00 60.00 60.00°
Sites, in units of the cell vectors:
1 Ca 0.500 0.500 0.500
2 Tl 0.000 0.000 0.000
3 Pt 0.250 0.250 0.250



(14)
# CaPtW3

CaPtW3 at its PBEsol-relaxed geometry (SCAN, Alexandria).

**Space-group type**: No. 221
**D(E_F)**: 6.2 states/eV per cell

Cell: 4.829 4.829 4.829 Å, 90.00 90.00 90.00°
Sites, in units of the cell vectors:
1 W 0.000 0.500 0.000
2 W 0.000 0.000 0.500
3 Pt 0.000 0.000 0.000
4 W 0.500 0.000 0.000
5 Ca 0.500 0.500 0.500



(15)
# Ca2PtW

Ca2PtW at its PBEsol-relaxed geometry (SCAN, Alexandria).

**Space-group type**: No. 166
**D(E_F)**: 3.2 states/eV per cell

Cell: 3.053 3.053 9.893 Å, 81.12 81.12 60.00°
Sites, in units of the cell vectors:
1 Ca 0.246 0.246 0.262
2 Ca 0.754 0.754 0.738
3 W 0.000 0.000 0.000
4 Pt 0.500 0.500 0.500



(16)
# CaPt2W

CaPt2W at its PBEsol-relaxed geometry (SCAN, Alexandria).

**Space-group type**: No. 25
**D(E_F)**: 3.6 states/eV per cell
**ΔE to the lowest computed polymorph**: 0 meV/atom

Cell: 2.787 4.154 6.139 Å, 90.00 90.00 90.00°
Sites, in units of the cell vectors:
1 Pt 0.500 0.500 0.278
2 W 0.000 0.000 0.433
3 Ca 0.500 0.500 0.777
4 Pt 0.000 0.000 0.012



(17)
# CaPt2W

CaPt2W at its PBEsol-relaxed geometry (SCAN, Alexandria).

**Space-group type**: No. 216
**ΔE to the lowest computed polymorph**: 233 meV/atom

Cell: 4.531 4.531 4.531 Å, 60.00 60.00 60.00°
Sites, in units of the cell vectors:
1 W 0.750 0.750 0.750
2 Pt 0.250 0.250 0.250
3 Pt 0.000 0.000 0.000
4 Ca 0.500 0.500 0.500



(18)
# CaYPt2

CaYPt2 at its PBEsol-relaxed geometry (SCAN, Alexandria).

**Space-group type**: No. 123
**D(E_F)**: 1.6 states/eV per cell

Cell: 4.026 4.026 5.683 Å, 90.00 90.00 90.00°
Sites, in units of the cell vectors:
1 Pt 0.000 0.000 0.500
2 Y 0.000 0.000 0.000
3 Pt 0.500 0.500 0.000
4 Ca 0.500 0.500 0.500



(19)
# CaY2Pt

CaY2Pt at its PBEsol-relaxed geometry (SCAN, Alexandria).

**Space-group type**: No. 225
**D(E_F)**: 2.7 states/eV per cell

Cell: 5.121 5.121 5.121 Å, 60.00 60.00 60.00°
Sites, in units of the cell vectors:
1 Y 0.250 0.250 0.250
2 Ca 0.000 0.000 0.000
3 Pt 0.500 0.500 0.500
4 Y 0.750 0.750 0.750



(20)
# CaYPt4

CaYPt4 at its PBEsol-relaxed geometry (SCAN, Alexandria).

**Space-group type**: No. 216
**D(E_F)**: 4.8 states/eV per cell

Cell: 5.363 5.363 5.363 Å, 60.00 60.00 60.00°
Sites, in units of the cell vectors:
1 Pt 0.375 0.876 0.375
2 Pt 0.375 0.375 0.375
3 Pt 0.375 0.375 0.876
4 Y 0.750 0.750 0.750
5 Pt 0.876 0.375 0.375
6 Ca 0.000 0.000 0.000



(21)
# CaYPt2

CaYPt2 at its PBEsol-relaxed geometry (SCAN, Alexandria).

**Space-group type**: No. 123
**D(E_F)**: 1.5 states/eV per cell

Cell: 3.430 3.430 6.958 Å, 90.00 90.00 90.00°
Sites, in units of the cell vectors:
1 Pt 0.000 0.000 0.233
2 Pt 0.000 0.000 0.767
3 Y 0.500 0.500 0.000
4 Ca 0.500 0.500 0.500



(22)
# Ca2YPt

Ca2YPt at its PBEsol-relaxed geometry (SCAN, Alexandria).

**Space-group type**: No. 99
**D(E_F)**: 2.2 states/eV per cell
**ΔE to the lowest computed polymorph**: 29 meV/atom

Cell: 3.547 3.547 9.206 Å, 90.00 90.00 90.00°
Sites, in units of the cell vectors:
1 Y 0.500 0.500 0.673
2 Ca 0.000 0.000 0.987
3 Pt 0.000 0.000 0.519
4 Ca 0.500 0.500 0.321



(23)
# Ca2YPt2

Ca2YPt2 at its PBEsol-relaxed geometry (SCAN, Alexandria).

**Space-group type**: No. 127
**D(E_F)**: 6.9 states/eV per cell

Cell: 4.362 7.339 7.339 Å, 90.00 90.00 90.00°
Sites, in units of the cell vectors:
1 Ca 0.500 0.665 0.835
2 Y 0.000 0.000 0.000
3 Y 0.000 0.500 0.500
4 Ca 0.500 0.835 0.335
5 Pt 0.000 0.369 0.869
6 Pt 0.000 0.869 0.631
7 Ca 0.500 0.165 0.665
8 Pt 0.000 0.631 0.131
9 Ca 0.500 0.335 0.165
10 Pt 0.000 0.131 0.369



(24)
# Ca2YPt

Ca2YPt at its PBEsol-relaxed geometry (SCAN, Alexandria).

**Space-group type**: No. 123
**D(E_F)**: 3.3 states/eV per cell
**ΔE to the lowest computed polymorph**: 289 meV/atom

Cell: 4.319 4.319 5.280 Å, 90.00 90.00 90.00°
Sites, in units of the cell vectors:
1 Ca 0.500 0.000 0.000
2 Y 0.000 0.000 0.500
3 Pt 0.500 0.500 0.500
4 Ca 0.000 0.500 0.000



(25)
# CaYPt2

CaYPt2 at its PBEsol-relaxed geometry (SCAN, Alexandria).

**Space-group type**: No. 119
**D(E_F)**: 1.6 states/eV per cell

Cell: 4.066 4.070 5.615 Å, 111.25 111.23 90.00°
Sites, in units of the cell vectors:
1 Pt 0.250 0.750 0.500
2 Y 0.500 0.500 0.000
3 Pt 0.000 0.000 0.000
4 Ca 0.750 0.250 0.500



(26)
# CaYPt2

CaYPt2 at its PBEsol-relaxed geometry (SCAN, Alexandria).

**Space-group type**: No. 225
**D(E_F)**: 1.6 states/eV per cell

Cell: 4.849 4.849 4.849 Å, 60.00 60.00 60.00°
Sites, in units of the cell vectors:
1 Ca 0.500 0.500 0.500
2 Pt 0.750 0.750 0.750
3 Pt 0.250 0.250 0.250
4 Y 0.000 0.000 0.000



(27)
# Ca2YPt

Ca2YPt at its PBEsol-relaxed geometry (SCAN, Alexandria).

**Space-group type**: No. 38
**D(E_F)**: 2.3 states/eV per cell
**ΔE to the lowest computed polymorph**: 0 meV/atom

Cell: 3.779 4.066 8.292 Å, 104.19 90.00 90.00°
Sites, in units of the cell vectors:
1 Ca 0.500 0.417 0.834
2 Ca 0.000 0.088 0.175
3 Pt 0.000 0.271 0.543
4 Y 0.500 0.736 0.472



(28)
# Ca2YPt

Ca2YPt at its PBEsol-relaxed geometry (SCAN, Alexandria).

**Space-group type**: No. 71
**D(E_F)**: 3.3 states/eV per cell
**ΔE to the lowest computed polymorph**: 99 meV/atom

Cell: 3.477 4.674 7.907 Å, 107.19 102.70 90.00°
Sites, in units of the cell vectors:
1 Y 0.000 0.500 0.000
2 Ca 0.833 0.833 0.667
3 Pt 0.500 0.000 0.000
4 Ca 0.167 0.167 0.333



(29)
# CaYPt2

CaYPt2 at its PBEsol-relaxed geometry (SCAN, Alexandria).

**Space-group type**: No. 38
**D(E_F)**: 1.5 states/eV per cell

Cell: 3.793 4.351 5.587 Å, 90.00 109.84 90.00°
Sites, in units of the cell vectors:
1 Pt 0.205 0.000 0.410
2 Pt 0.042 0.500 0.085
3 Ca 0.767 0.500 0.535
4 Y 0.485 0.000 0.970



(30)
# Ca2Zn2Pt

Ca2Zn2Pt at its PBEsol-relaxed geometry (SCAN, Alexandria).

**Space-group type**: No. 139
**D(E_F)**: 2.6 states/eV per cell

Cell: 5.357 5.357 5.357 Å, 95.53 116.86 116.86°
Sites, in units of the cell vectors:
1 Ca 0.500 0.750 0.250
2 Pt 0.000 0.000 0.000
3 Zn 0.000 0.340 0.340
4 Zn 0.000 0.660 0.660
5 Ca 0.500 0.250 0.750



| no. | E (eV per formula unit) | M_tot (μB/cell) |
| --- | --- | --- |
| 1 | -218.81 | 0.00 |
| 2 | -155.43 | 0.00 |
| 3 | -124.41 | 1.88 |
| 4 | -124.02 | 0.00 |
| 5 | -254.20 | 0.00 |
| 6 | -218.43 | 0.00 |
| 7 | -149.20 | 0.00 |
| 8 | -119.18 | 0.00 |
| 9 | -154.09 | 0.00 |
| 10 | -224.32 | 0.00 |
| 11 | -165.07 | 0.00 |
| 12 | -296.21 | 0.00 |
| 13 | -154.21 | 0.00 |
| 14 | -279.89 | 0.00 |
| 15 | -157.25 | 0.00 |
| 16 | -220.05 | 0.00 |
| 17 | -219.12 | 0.00 |
| 18 | -181.98 | 0.00 |
| 19 | -137.31 | 0.26 |
| 20 | -325.50 | 0.00 |
| 21 | -182.88 | 0.00 |
| 22 | -120.07 | 0.03 |
| 23 | -192.69 | 0.00 |
| 24 | -119.03 | 0.00 |
| 25 | -181.96 | 0.00 |
| 26 | -182.81 | 0.00 |
| 27 | -120.18 | 0.02 |
| 28 | -119.79 | 0.16 |
| 29 | -182.89 | 0.00 |
| 30 | -118.39 | 0.00 |